# 1
TbTm2Te3 after structural relaxation, computed with GGA-PBE.

Lattice parameters (Å, degrees): 4.3527 6.0907 12.9423 90.00 90.00 90.00
Atoms (fractional coordinates):
Tb 0.0000 0.0000 0.0000
Tb 0.5000 0.5000 0.5000
Tm 0.0000 0.0000 0.3396
Tm 0.0000 0.0000 0.6604
Tm 0.5000 0.5000 0.1604
Tm 0.5000 0.5000 0.8396
Te 0.0000 0.5000 0.0000
Te 0.0000 0.5000 0.3279
Te 0.0000 0.5000 0.6721
Te 0.5000 0.0000 0.1721
Te 0.5000 0.0000 0.5000
Te 0.5000 0.0000 0.8279

## Properties
For the uncorrected formation energy, the calculation gives -1.215 eV per atom. The magnetic moment comes out at 0.0 Bohr magnetons per cell. As for the space group: No. 71.

# 2
TbTm2Te4 after structural relaxation, computed with GGA-PBE.

Lattice parameters (Å, degrees): 16.1967 4.3179 7.5095 90.00 117.24 90.00
Atoms (fractional coordinates):
Tb 0.0000 0.0000 0.0000
Tb 0.5000 0.5000 0.0000
Tm 0.2449 0.5000 0.7299
Tm 0.2551 0.0000 0.2701
Tm 0.7449 0.0000 0.7299
Tm 0.7551 0.5000 0.2701
Te 0.1222 0.0000 0.4565
Te 0.1313 0.5000 0.9672
Te 0.3687 0.0000 0.0328
Te 0.3778 0.5000 0.5435
Te 0.6222 0.5000 0.4565
Te 0.6313 0.0000 0.9672
Te 0.8687 0.5000 0.0328
Te 0.8778 0.0000 0.5435

## Properties
For the uncorrected formation energy, the calculation gives -1.357 eV per atom. The magnetic moment comes out at 0.0 Bohr magnetons per cell. As for the space group: No. 12.

# 3
TbTm2Te3 after structural relaxation, computed with GGA-PBE.

Lattice parameters (Å, degrees): 8.7526 8.7526 8.7526 48.57 48.57 48.57
Atoms (fractional coordinates):
Tb 0.0000 0.0000 0.0000
Tb 0.5000 0.5000 0.5000
Tm 0.1659 0.1659 0.1659
Tm 0.3341 0.3341 0.3341
Tm 0.6659 0.6659 0.6659
Tm 0.8341 0.8341 0.8341
Te 0.0794 0.7500 0.4206
Te 0.2500 0.5794 0.9206
Te 0.4206 0.0794 0.7500
Te 0.5794 0.9206 0.2500
Te 0.7500 0.4206 0.0794
Te 0.9206 0.2500 0.5794

## Properties
For the uncorrected formation energy, the calculation gives -1.241 eV per atom. The magnetic moment comes out at 0.0 Bohr magnetons per cell. As for the space group: No. 167.